*w*
A geometry-optimized Ir4PtRh7 structure, computed with GGA-PBE.

```
Ir4PtRh7
1.0
4.731 0.000 0.000
-0.001 5.455 0.000
-2.358 -1.374 6.693
Ir Pt Rh
4 1 7
Direct
0.163 0.168 0.164
0.335 0.585 0.833
0.665 0.415 0.167
0.837 0.832 0.836
0.500 0.000 0.500
0.004 0.253 0.499
0.166 0.664 0.164
0.332 0.084 0.837
0.500 0.500 0.500
0.668 0.916 0.163
0.834 0.336 0.836
0.996 0.747 0.501
```

Summary:
- Total moment: 0.000 μB/f.u.



*x*
A geometry-optimized Ir4PtRh7 structure, computed with GGA-PBE.

```
Ir4PtRh7
1.0
5.284 -2.333 0.000
5.284 2.333 0.000
-4.967 0.000 7.845
Ir Pt Rh
4 1 7
Direct
0.067 0.067 0.272
0.215 0.215 0.820
0.785 0.785 0.180
0.933 0.933 0.728
0.500 0.500 0.500
0.000 0.000 0.500
0.142 0.142 0.055
0.287 0.287 0.591
0.425 0.425 0.154
0.575 0.575 0.846
0.713 0.713 0.409
0.858 0.858 0.945
```

Summary:
- Total moment: 0.000 μB/f.u.



On energetic grounds, *w* is preferred over the next structure by 554 meV per atom.